Below is a geometry-optimized Hf5Zn structure, with properties calculated at the PBE-GGA level.

```
data_Hf5Zn
_chemical_formula_sum 'Hf5 Zn1'
_space_group_name_H-M_alt 'P 4/m m m'
_space_group_IT_number 123
_space_group_name_Hall '-P 4 2'
_cell_length_a 3.199
_cell_length_b 3.199
_cell_length_c 12.407
_cell_angle_alpha 90.00
_cell_angle_beta 90.00
_cell_angle_gamma 90.00
loop_
_atom_site_label
_atom_site_fract_x
_atom_site_fract_y
_atom_site_fract_z
_atom_site_occupancy
Hf1 0.000 0.000 0.000 1
Hf2 0.000 0.000 0.353 1
Hf3 0.500 0.500 0.180 1
Zn1 0.500 0.500 0.500 1
```

Properties
As for the formation energy: -0.27 eV per formula unit. For the polymorph energy (0 for the lowest one), the calculation gives 0.00 kcal/mol of atoms. The volume comes out at 127 Å³/f.u. For the total magnetization, the calculation gives 0.0 μB/f.u.